# AcFe2PO8

Crystalline AcFe2PO8 at its relaxed geometry (PBE with a Hubbard U, Alexandria).

Summary:
Uncorrected energy   -6.5956 eV/atom
Symmetry   No. 164
Crystal system   trigonal
Density of states at the Fermi level   5.490 states/eV per cell

Unit cell a=5.137 b=5.137 c=6.381 alpha=90.00 beta=90.00 gamma=120.00
Fractional positions:
Ac 0.000 0.000 0.000
Fe 0.333 0.667 0.438
Fe 0.667 0.333 0.562
P 0.000 0.000 0.500
O 0.158 0.315 0.650
O 0.158 0.842 0.650
O 0.315 0.158 0.350
O 0.333 0.667 0.144
O 0.667 0.333 0.856
O 0.685 0.842 0.650
O 0.842 0.158 0.350
O 0.842 0.685 0.350